# CeTeS (PBE, relaxed)
data_CeTeS
_chemical_formula_sum 'Ce2 Te2 S2'
_cell_length_a 3.782
_cell_length_b 3.782
_cell_length_c 10.586
_cell_angle_alpha 90.00
_cell_angle_beta 90.00
_cell_angle_gamma 90.00
_space_group_name_H-M_alt 'I 4 m m'
_space_group_IT_number 107
_space_group_name_Hall 'I 4 -2'
loop_
_atom_site_label
_atom_site_fract_x
_atom_site_fract_y
_atom_site_fract_z
Ce1 0.000 0.000 0.000
Te1 0.000 0.000 0.680
S1 0.000 0.000 0.397
# Energy relative to the lowest polymorph listed for this composition = 0.207 eV/atom
# Total DFT energy (no corrections) = -5.7142 eV/atom
# D(E_F) = 5.51 states/eV/cell